[1]
# TaTi4Pd7

TaTi4Pd7 after structural relaxation (GGA-PBE, the Alexandria database).

The structure belongs to space group C2/m (No. 12); the cell edges are 10.470, 4.813 and 9.285 Å and the angles 90.00°, 119.38° and 90.00°. The inequivalent atoms are Ta at (0.000, 0.000, 0.000), Ti at (0.090, 0.500, 0.774), Ti at (0.242, 0.500, 0.329), Pd at (0.000, 0.500, 0.000), Pd at (0.062, 0.000, 0.342), Pd at (0.143, 0.500, 0.540) and Pd at (0.214, 0.000, 0.915).

The energy of formation is -0.24 eV per atom.


[2]
# TlSnOF2

TlSnOF2 after structural relaxation (GGA-PBE, the Alexandria database).

The structure belongs to space group P4/mmm (No. 123); the cell edges are 4.636, 4.636 and 4.169 Å and the angles 90.00°, 90.00° and 90.00°. The inequivalent atoms are Tl at (0.000, 0.000, 0.000), Sn at (0.500, 0.500, 0.500), O at (0.500, 0.500, 0.000) and F at (0.000, 0.500, 0.500).

For the energy above the most stable polymorph in this dataset, the calculation gives 0 meV per atom.


[3]
# LaMg3Ir

LaMg3Ir after structural relaxation (GGA-PBE, the Alexandria database).

The structure belongs to space group Pm-3m (No. 221); the cell edges are 5.011, 5.011 and 5.011 Å and the angles 90.00°, 90.00° and 90.00°. The inequivalent atoms are La at (0.000, 0.000, 0.000), Mg at (0.000, 0.500, 0.500) and Ir at (0.500, 0.500, 0.500).

The energy of formation is -0.17 eV per atom. For the energy above the most stable polymorph in this dataset, the calculation gives 189 meV per atom.


| no. | raw total energy (eV per atom) |
| --- | --- |
| 1 | -6.89 |
| 2 | -4.72 |
| 3 | -3.89 |